Below is an optimized crystal structure of PuCdGePt, with properties calculated at the GGA-PBE level.

Cell lengths 4.866, 4.866, 4.866 Å; angles 60.00, 60.00, 60.00 degrees
Element x y z (fractional)
1 Pu 0.000 0.000 0.000
2 Cd 0.500 0.500 0.500
3 Ge 0.250 0.250 0.250
4 Pt 0.750 0.750 0.750

Calculated values
Crystal system = cubic
Magnetization = 5.126 μB per cell
SG = F-43m
DOS at the Fermi energy = 10.30 states/eV/f.u.
ΔE_f = -366 meV per atom
Calculated density = 12.7 Mg/m³